Pm2Sn3Pt: optimized geometry, PBE.

Density = 9.16 g cm⁻³
Calculated total energy = -0.1973 Ha/atom
E_form = -0.78 eV/atom
Relative energy among the computed polymorphs = 0 meV/atom
Total magnetic moment = 0.00 μB/atom

Cell: 4.662 6.165 6.275 Å, 72.86 68.19 67.78°
Element x y z (fractional)
Pm  0.430  0.823  0.318
Sn  0.873  0.600  0.654
Sn  0.153  0.771  0.923
Pm  0.560  0.182  0.698
Sn  0.816  0.246  0.122
Pt  0.169  0.378  0.284